Entry from Alexandria via LeMat-Bulk: CsLaPtAu2 after structural relaxation (PBE-GGA).

Cell: 5.3065 5.3862 5.3065 Å, 90.00 90.00 90.00°
Last column: nearest neighbours and their distance in Å.
Positions (direct):
Cs: 0.0000 0.5000 0.0000  2 Pt 2.69
Au: 0.0000 0.0000 0.5000  2 Pt 2.65
Au: 0.5000 0.0000 0.0000  2 Pt 2.65
Pt: 0.0000 0.0000 0.0000  4 Au 2.65, 2 Cs 2.69
La: 0.5000 0.5000 0.5000  4 Cs 3.75, 8 Au 3.78

Output
Volume, Å³/f.u.: 152
Space group: P4/mmm
Formation energy, eV/atom: 0.32
Energy, eV/f.u.: -16.8